Entry 1:
DFT (PBE) results for NdSmAlZn after structural relaxation.

Unit cell a=3.652 b=3.652 c=7.521 alpha=90.00 beta=90.00 gamma=90.00
Element x y z (fractional)
Al (0.500, 0.500, 0.112)
Nd (0.000, 0.000, 0.854)
Sm (0.000, 0.000, 0.362)
Zn (0.500, 0.500, 0.600)

**E**: -0.146 Ha/atom
**Formation energy**: -339 meV/atom
**Total magnetization**: 0.0000 μB per atom
**SG**: P4mm, No. 99


Entry 2:
DFT (PBE) results for NpIn3O7 after structural relaxation.

Unit cell a=5.570 b=5.570 c=5.570 alpha=95.09 beta=95.09 gamma=95.09
Element x y z (fractional)
O (0.211, 0.687, 0.211)
O (0.053, 0.688, 0.688)
O (0.687, 0.211, 0.211)
O (0.688, 0.688, 0.053)
O (0.688, 0.053, 0.688)
O (0.211, 0.211, 0.687)
O (0.185, 0.185, 0.185)
Np (0.926, 0.926, 0.926)
In (0.412, 0.412, 0.995)
In (0.412, 0.995, 0.412)
In (0.995, 0.412, 0.412)

**E**: -0.252 Ha/atom
**Total magnetization**: 0.1804 μB per atom
**SG**: R3m, No. 160
**Raw formation energy**: -1765.3 meV per atom


Entry 3:
DFT (PBE) results for Ba2LaAg6 after structural relaxation.

Unit cell a=4.027 b=8.548 c=8.548 alpha=120.00 beta=90.00 gamma=90.00
Element x y z (fractional)
La (0.000, 0.000, 0.000)
Ba (0.000, 0.333, 0.667)
Ba (0.000, 0.667, 0.333)
Ag (0.500, 0.328, 0.328)
Ag (0.500, 0.672, 0.000)
Ag (0.500, 0.672, 0.672)
Ag (0.500, 0.000, 0.328)
Ag (0.500, 0.328, 0.000)
Ag (0.500, 0.000, 0.672)

**E**: -0.115 Ha/atom
**Formation energy**: -251 meV/atom
**Total magnetization**: 0.0000 μB per atom
**SG**: P6/mmm, No. 191


Entry 4:
DFT (PBE) results for Mn2OsPt after structural relaxation.

Unit cell a=4.559 b=4.559 c=2.671 alpha=90.00 beta=90.00 gamma=107.85
Element x y z (fractional)
Pt (0.000, 0.500, 0.500)
Mn (0.000, 0.000, 0.000)
Mn (0.500, 0.500, 0.000)
Os (0.500, 0.000, 0.500)

**E**: -0.328 Ha/atom
**Formation energy**: -14 meV/atom
**Total magnetization**: 0.7121 μB per atom
**SG**: Cmmm, No. 65


Entry 5:
DFT (PBE) results for NbTl3S4 after structural relaxation.

Unit cell a=6.358 b=9.291 c=9.200 alpha=90.00 beta=90.00 gamma=90.00
Element x y z (fractional)
Tl (0.088, 0.666, 0.792)
Tl (0.080, 0.114, 0.500)
Tl (0.588, 0.334, 0.292)
Tl (0.580, 0.886, 0.000)
Tl (0.588, 0.334, 0.708)
Tl (0.088, 0.666, 0.208)
Nb (0.469, 0.797, 0.500)
Nb (0.969, 0.203, 0.000)
S (0.565, 0.681, 0.712)
S (0.606, 0.209, 0.000)
S (0.055, 0.964, 0.000)
S (0.065, 0.319, 0.212)
S (0.106, 0.791, 0.500)
S (0.565, 0.681, 0.288)
S (0.555, 0.036, 0.500)
S (0.065, 0.319, 0.788)

**E**: -0.178 Ha/atom
**Total magnetization**: 0.0000 μB per atom
**SG**: Pmn2_1, No. 31
**Raw formation energy**: -633.9 meV per atom


Entry 6:
DFT (PBE) results for CaAcH after structural relaxation.

Unit cell a=3.940 b=3.940 c=12.296 alpha=112.00 beta=112.00 gamma=82.87
Element x y z (fractional)
H (0.783, 0.783, 0.108)
H (0.217, 0.217, 0.892)
Ac (0.106, 0.106, 0.363)
Ac (0.894, 0.894, 0.637)
Ca (0.615, 0.615, 0.886)
Ca (0.385, 0.385, 0.114)

**E**: -0.121 Ha/atom
**Total magnetization**: 0.0075 μB per atom
**SG**: C2/m, No. 12


Entry 7:
DFT (PBE) results for Ac2PmYTe6 after structural relaxation.

Unit cell a=8.145 b=8.145 c=8.536 alpha=61.51 beta=61.52 gamma=60.01
Element x y z (fractional)
Y (0.322, 0.321, 0.036)
Ac (0.522, 0.522, 0.435)
Ac (0.021, 0.021, 0.937)
Te (0.592, 0.197, 0.259)
Te (0.446, 0.693, 0.763)
Te (0.952, 0.592, 0.259)
Te (0.098, 0.446, 0.763)
Te (0.197, 0.952, 0.259)
Te (0.693, 0.098, 0.763)
Pm (0.820, 0.821, 0.538)

**E**: -0.194 Ha/atom
**Total magnetization**: 0.0000 μB per atom
**SG**: R3, No. 146
**Raw formation energy**: -1454.1 meV per atom


Entry 8:
DFT (PBE) results for AcMg2Au3 after structural relaxation.

Unit cell a=5.943 b=7.031 c=7.031 alpha=107.53 beta=90.00 gamma=90.00
Element x y z (fractional)
Au (0.750, 0.165, 0.467)
Au (0.750, 0.467, 0.165)
Au (0.250, 0.952, 0.952)
Au (0.250, 0.835, 0.533)
Au (0.750, 0.048, 0.048)
Au (0.250, 0.533, 0.835)
Mg (0.500, 0.795, 0.205)
Mg (0.000, 0.795, 0.205)
Mg (0.000, 0.205, 0.795)
Mg (0.500, 0.205, 0.795)
Ac (0.250, 0.330, 0.330)
Ac (0.750, 0.670, 0.670)

**E**: -0.129 Ha/atom
**Formation energy**: -657 meV/atom
**Total magnetization**: 0.0000 μB per atom
**SG**: Cmcm, No. 63


Entry 9:
DFT (PBE) results for Pr2ZnCu after structural relaxation.

Unit cell a=3.533 b=3.533 c=10.970 alpha=80.73 beta=80.73 gamma=60.00
Element x y z (fractional)
Pr (0.100, 0.100, 0.700)
Pr (0.900, 0.900, 0.300)
Zn (0.000, 0.000, 0.000)
Cu (0.500, 0.500, 0.500)

**E**: -0.126 Ha/atom
**Formation energy**: 312 meV/atom
**Total magnetization**: 0.0000 μB per atom
**SG**: R-3m, No. 166


Entry 10:
DFT (PBE) results for Pu2Al4InAu3 after structural relaxation.

Unit cell a=4.336 b=4.336 c=11.053 alpha=90.00 beta=90.00 gamma=90.00
Element x y z (fractional)
Au (0.000, 0.500, 0.128)
Au (0.500, 0.000, 0.872)
Au (0.000, 0.000, 0.500)
Pu (0.500, 0.000, 0.245)
Pu (0.000, 0.500, 0.755)
Al (0.000, 0.500, 0.352)
Al (0.000, 0.000, 0.000)
Al (0.500, 0.500, 0.000)
Al (0.500, 0.000, 0.648)
In (0.500, 0.500, 0.500)

**E**: -0.222 Ha/atom
**Formation energy**: -419 meV/atom
**Total magnetization**: 1.1076 μB per atom
**SG**: P-4m2, No. 115


Entry 11:
DFT (PBE) results for GeRhS after structural relaxation.

Unit cell a=6.213 b=7.420 c=7.000 alpha=64.67 beta=59.47 gamma=53.68
Element x y z (fractional)
Rh (0.196, 0.916, 0.103)
Rh (0.196, 0.416, 0.603)
Rh (0.804, 0.084, 0.897)
Rh (0.804, 0.584, 0.397)
S (0.891, 0.302, 0.993)
S (0.109, 0.198, 0.507)
S (0.109, 0.698, 0.007)
S (0.891, 0.802, 0.493)
Ge (0.534, 0.534, 0.269)
Ge (0.466, 0.466, 0.731)
Ge (0.534, 0.034, 0.769)
Ge (0.466, 0.966, 0.231)

**E**: -0.209 Ha/atom
**Total magnetization**: 0.0000 μB per atom
**SG**: P-1, No. 2
**Raw formation energy**: -323.6 meV per atom


Entry 12:
DFT (PBE) results for AcCdNi2P2 after structural relaxation.

Unit cell a=3.970 b=3.970 c=7.970 alpha=90.00 beta=90.00 gamma=120.00
Element x y z (fractional)
Ni (0.667, 0.333, 0.704)
Ni (0.333, 0.667, 0.296)
P (0.667, 0.333, 0.264)
P (0.333, 0.667, 0.736)
Cd (0.000, 0.000, 0.500)
Ac (0.000, 0.000, 0.000)

**E**: -0.190 Ha/atom
**Formation energy**: -614 meV/atom
**Total magnetization**: 0.0000 μB per atom
**SG**: P-3m1, No. 164